GGA-PBEsol ZrNi2Au, optimized geometry; space group = I-4m2, No. 119; formation energy = -0.47 eV/atom
1.0
3.7385 0.0000 0.0000
0.0000 3.7385 0.0000
-1.8693 -1.8693 4.1002
Au Ni Zr
1 2 1
Direct
0.7500 0.2500 0.5000
0.0000 0.0000 0.0000
0.2500 0.7500 0.5000
0.5000 0.5000 0.0000